! PBE KNaB2F, relaxed; values from VASP
&SYSTEM
  ibrav = 0, nat = 5, ntyp = 4
/
ATOMIC_SPECIES
Na 22.99 Na.upf
K 39.10 K.upf
B 10.81 B.upf
F 19.00 F.upf
ATOMIC_POSITIONS crystal
Na 0.0000 0.5000 0.0000
K 0.0000 0.0000 0.0000
B 0.0000 0.0000 0.5000
B 0.5000 0.0000 0.0000
F 0.5000 0.5000 0.5000
CELL_PARAMETERS angstrom
5.0097 0.0000 0.0000
0.0000 9.4212 0.0000
0.0000 0.0000 5.0097
! Formation energy without anion corrections (meV per atom): 1715
! Raw total energy (eV per atom): -1.814